No. 1
A relaxed CdCoH crystal. Source: Alexandria, functional PBE.

Results
**Energy relative to the lowest polymorph listed for this composition**: 23 meV/atom
**Space-group type**: I4_1/a
**Total moment**: 8.86 Bohr magnetons per cell

Cell and atoms, written as extended XYZ:
```
24
Lattice="-4.4673 4.4673 3.4853 4.4673 -4.4673 3.4853 4.4673 4.4673 -3.4853" Properties=species:S:1:pos:R:3 pbc="T T T"
Cd 3.2285 3.2225 -1.8269
Cd 3.4785 0.9949 0.0843
Cd 3.2285 -1.2448 1.8269
Cd 5.4561 3.4724 0.0843
Cd -0.9888 0.9949 3.4009
Cd 1.2388 5.7122 1.6583
Cd 0.9888 3.4724 3.4009
Cd 1.2388 1.2448 5.3122
Co 0.8861 0.3274 0.9113
Co 7.0284 1.3476 0.8313
Co 5.3534 0.3274 2.5739
Co 1.9063 3.1197 0.8313
Co 2.5611 1.3476 2.6540
Co -0.8861 4.1399 0.9113
Co -2.5611 3.1197 2.6540
Co 3.5812 4.1399 2.5739
H 4.0189 -3.4629 3.5423
H 0.4485 3.4629 0.0571
H 1.2292 1.7852 1.6856
H 5.6965 1.7852 1.7997
H -1.2292 2.6821 1.6856
H 3.2381 2.6821 1.7997
H 4.0189 1.0044 3.4282
H 0.4485 7.9302 -0.0571
```



No. 2
A relaxed CdCoH3 crystal. Source: Alexandria, functional PBE.

Results
**Energy relative to the lowest polymorph listed for this composition**: 0 meV/atom
**Space-group type**: P-1
**Total moment**: 0.00 Bohr magnetons per cell

Cell and atoms, written as extended XYZ:
```
10
Lattice="4.7160 0.0000 0.0000 -1.8384 4.5573 0.0000 -0.7400 -1.9797 4.5325" Properties=species:S:1:pos:R:3 pbc="T T T"
Cd -0.5215 0.2679 1.3892
Cd 2.6591 2.3097 3.1432
Co -0.4921 0.2689 4.1153
Co 2.6297 2.3086 0.4172
H -0.6482 2.8516 0.8518
H 0.1297 1.3430 3.2462
H 0.9276 -0.4018 3.8291
H 1.2100 2.9794 0.7033
H 2.0079 1.2346 1.2863
H 2.7859 -0.2741 3.6807
```



No. 3
A relaxed CdCoH2 crystal. Source: Alexandria, functional PBE.

Results
**Energy relative to the lowest polymorph listed for this composition**: 21 meV/atom
**Space-group type**: R3m
**Total moment**: 0.00 Bohr magnetons per cell

Cell and atoms, written as extended XYZ:
```
4
Lattice="1.4365 0.8294 5.2255 -1.4365 0.8294 5.2255 0.0000 -1.6587 5.2255" Properties=species:S:1:pos:R:3 pbc="T T T"
Cd 0.0000 0.0000 0.0000
Co 0.0000 0.0000 2.8072
H 0.0000 0.0000 8.3513
H 0.0000 0.0000 12.6819
```



No. 4
A relaxed Cd3CoH crystal. Source: Alexandria, functional PBE.

Results
**Energy relative to the lowest polymorph listed for this composition**: 325 meV/atom
**Space-group type**: Pm-3m
**Total moment**: 1.57 Bohr magnetons per cell

Cell and atoms, written as extended XYZ:
```
5
Lattice="5.0177 0.0000 0.0000 0.0000 5.0177 0.0000 0.0000 0.0000 5.0177" Properties=species:S:1:pos:R:3 pbc="T T T"
Cd 0.0000 0.0000 2.5089
Cd 0.0000 2.5089 0.0000
Cd 2.5089 0.0000 0.0000
Co 0.0000 0.0000 0.0000
H 2.5089 2.5089 2.5089
```



No. 5
A relaxed CdCoH3 crystal. Source: Alexandria, functional PBE.

Results
**Energy relative to the lowest polymorph listed for this composition**: 910 meV/atom
**Space-group type**: Pm-3m
**Total moment**: 1.98 Bohr magnetons per cell

Cell and atoms, written as extended XYZ:
```
5
Lattice="3.7271 0.0000 0.0000 0.0000 3.7271 0.0000 0.0000 0.0000 3.7271" Properties=species:S:1:pos:R:3 pbc="T T T"
Cd 0.0000 0.0000 0.0000
Co 1.8636 1.8636 1.8636
H 0.0000 0.0000 1.8636
H 0.0000 1.8636 0.0000
H 1.8636 0.0000 0.0000
```



No. 6
A relaxed CdCoH2 crystal. Source: Alexandria, functional PBE.

Results
**Energy relative to the lowest polymorph listed for this composition**: 0 meV/atom
**Space-group type**: R-3m
**Total moment**: 0.00 Bohr magnetons per cell

Cell and atoms, written as extended XYZ:
```
4
Lattice="1.4437 0.8335 4.9712 -1.4437 0.8335 4.9712 0.0000 -1.6671 4.9712" Properties=species:S:1:pos:R:3 pbc="T T T"
Cd 0.0000 0.0000 0.0000
Co 0.0000 0.0000 7.4568
H 0.0000 0.0000 2.9152
H 0.0000 0.0000 11.9985
```



- Which value of total moment does entry 1 give?
  8.86 Bohr magnetons per cell



- Which of these has the highest energy relative to the lowest polymorph listed for this composition?
  number 5